The following is a DFT calculation (PBE) of a geometry-optimized Pr3Dy4Tm3 structure.

Total magnetic moment = 0.00 μB/atom
Mass density = 8.0 g/cm3
Energy relative to the elements = 0.11 eV per atom

a b c (Å): 3.7006 13.2784 13.3968
angles (deg): 90.00 90.00 90.00
Space group Amm2 (No. 38)
Symmetry-distinct sites (fractional):
Pr  0.0000  0.0000  0.0000 (multiplicity 2)
Pr  0.0000  0.1735  0.6715 (multiplicity 4)
Dy  0.5000  0.0000  0.5437 (multiplicity 2)
Dy  0.5000  0.0000  0.7990 (multiplicity 2)
Dy  0.5000  0.1251  0.1764 (multiplicity 4)
Tm  0.0000  0.0000  0.3460 (multiplicity 2)
Tm  0.5000  0.2446  0.4199 (multiplicity 4)


The following is a DFT calculation (PBE) of a geometry-optimized Zr4AlZn structure.

Total magnetic moment = 0.00 μB/atom
Energy above the lowest structure with this stoichiometry = 0.572 eV per atom
Mass density = 5.8 g/cm3
Energy relative to the elements = 0.32 eV per atom

a b c (Å): 8.0663 8.0663 8.0663
angles (deg): 90.00 90.00 90.00
Space group F-43m (No. 216)
Symmetry-distinct sites (fractional):
Zr  0.1244  0.1244  0.1244 (multiplicity 16)
Al  0.2500  0.2500  0.7500 (multiplicity 4)
Zn  0.0000  0.0000  0.5000 (multiplicity 4)


The following is a DFT calculation (PBE) of a geometry-optimized PaCr2SiN structure.

Total magnetic moment = 0.00 μB/atom
Energy relative to the elements, uncorrected = -0.752 eV per atom
Mass density = 9.2 g/cm3

a b c (Å): 3.3700 10.9577 7.3980
angles (deg): 90.00 90.00 90.00
Space group Cmcm (No. 63)
Symmetry-distinct sites (fractional):
Pa  0.0000  0.0318  0.2500 (multiplicity 4)
Cr  0.0000  0.3274  0.0533 (multiplicity 8)
Si  0.0000  0.2449  0.7500 (multiplicity 4)
N  0.0000  0.5000  0.0000 (multiplicity 4)